1.
A geometry-optimized LiReBi2O6 structure, computed with PBE-GGA.

Summary:
**DOS(E_F)**: 0.168 states/eV/atom
**Electronic total energy**: -6.50 eV per atom
**Symmetry**: Pmmn (59)
**Formation energy (no corrections)**: -1.316 eV per atom

```
LiReBi2O6
1.0
-0.9603 4.7410 3.2928
-3.4692 -3.2693 3.6955
6.1341 -1.7078 4.2477
Li Re Bi O
2 2 4 12
Cartesian
1.7013 0.6820 4.7137
-2.5836 -2.4347 2.7521
0.5979 -3.1807 4.7540
-1.4802 1.4280 2.7117
-2.0400 -0.5795 5.4390
3.5825 -1.8482 3.7058
1.6694 -1.6123 8.0077
1.1578 -1.1731 2.0267
0.1705 1.2290 3.4797
3.4300 0.3215 5.7368
-1.0527 -2.9817 3.9861
1.8218 -3.7820 5.9766
2.8338 0.1605 2.8685
2.2934 2.8288 4.7217
1.2661 -1.3692 4.5174
0.7079 1.3870 6.4317
-2.5504 1.6013 4.3268
-2.1484 -0.3834 2.9483
-3.7161 -1.9132 4.5972
-4.1359 0.1595 6.0368
```

---

2.
A geometry-optimized LiBiRhO4 structure, computed with PBE-GGA.

Summary:
**DOS(E_F)**: 0.481 states/eV/atom
**Electronic total energy**: -5.85 eV per atom
**Symmetry**: Imma (74)
**Formation energy (no corrections)**: -1.134 eV per atom

```
LiBiRhO4
1.0
-5.6908 -0.4614 2.6537
-0.5242 -2.7893 5.8597
-1.5564 4.0689 4.8387
Li Bi Rh O
2 2 2 8
Cartesian
-3.9562 -1.4639 6.1993
-3.8153 2.2820 7.1528
0.0000 0.0000 0.0000
-1.0403 0.6398 5.3492
-3.6236 1.8037 3.7462
-0.7782 2.0344 2.4194
-5.7582 0.2283 10.0981
-2.9359 0.4479 8.7196
-4.8355 0.3703 4.6325
-2.0133 0.5898 3.2540
-2.0739 -1.1500 6.4046
-5.0347 -1.3901 7.7853
-2.7368 2.2082 5.5668
-5.6976 1.9682 6.9475
```

---

3.
A geometry-optimized Li2BiRuO6 structure, computed with PBE-GGA.

Summary:
**DOS(E_F)**: 0.374 states/eV/atom
**Electronic total energy**: -5.79 eV per atom
**Symmetry**: P4mm (99)
**Formation energy (no corrections)**: -1.115 eV per atom

```
Li2BiRuO6
1.0
-2.9415 -0.1449 -3.3995
1.9381 -5.1493 -1.4575
-3.8450 -2.4180 3.4300
Li Bi Ru O
2 1 1 6
Cartesian
-1.6706 -2.7047 -3.7795
-4.5622 -1.3391 -1.3357
-2.8066 -3.8750 -1.1555
-1.8257 -0.0899 -2.1100
-2.6349 -1.8168 -2.1025
-4.7440 -3.1432 -0.2210
-1.4301 -3.8071 0.4354
-0.7102 -0.0350 -0.8208
-3.6809 -5.9677 -1.0205
-1.5717 -4.6414 -2.9019
```

---

4.
A geometry-optimized LiBi2RuO structure, computed with PBE-GGA.

Summary:
**DOS(E_F)**: 0.536 states/eV/atom
**Electronic total energy**: -4.34 eV per atom
**Symmetry**: P4/mmm (123)
**Formation energy (no corrections)**: 0.443 eV per atom

```
LiBi2RuO
1.0
-0.1773 1.4783 -4.8736
-0.5332 -4.3181 -1.2904
-5.0575 0.5222 0.3424
Ru Bi O Li
1 2 1 1
Cartesian
0.0000 0.0000 0.0000
-2.5288 0.2611 0.1712
-0.0886 0.7392 -2.4368
-2.8840 -1.1588 -2.9108
-0.2666 -2.1591 -0.6452
```